Material: HoErGa
Method: DFT, PBE-GGA
State: optimized geometry

Calculated values
polymorph energy (0 for the lowest one) = 120 meV/atom
ΔH_f (0 K) = -0.271 eV/atom

Cell: 3.6126 4.9408 4.9408 Å, 120.00 90.00 90.00°
Atoms (fractional coordinates):
Ho 0.9380 0.0000 0.0000
Ga 0.6583 0.6667 0.3333
Er 0.4037 0.3333 0.6667



Material: Ta2Tl
Method: DFT, PBE-GGA
State: optimized geometry

Calculated values
ΔH_f (0 K) = 0.611 eV/atom

Cell: 5.6448 5.6448 9.1607 Å, 90.00 90.00 120.00°
Atoms (fractional coordinates):
Ta 0.0000 0.0000 0.5000
Ta 0.8352 0.1648 0.2500
Tl 0.3333 0.6667 0.4385
Tl 0.6667 0.3333 0.5615
Ta 0.3296 0.1648 0.2500
Ta 0.0000 0.0000 0.0000
Tl 0.6667 0.3333 0.9385
Ta 0.6704 0.8352 0.7500
Ta 0.8352 0.6704 0.2500
Tl 0.3333 0.6667 0.0615
Ta 0.1648 0.3296 0.7500
Ta 0.1648 0.8352 0.7500



Material: TlAs2Ru
Method: DFT, PBE-GGA
State: optimized geometry

Calculated values
polymorph energy (0 for the lowest one) = 171 meV/atom
ΔH_f (0 K) = 0.136 eV/atom

Cell: 6.2346 6.2346 7.1577 Å, 64.18 64.18 90.00°
Atoms (fractional coordinates):
As 0.5412 0.1250 0.2500
Ru 0.2500 0.7500 0.5000
Tl 0.0000 0.0000 0.0000
As 0.3750 0.4588 0.7500
As 0.8750 0.7912 0.7500
Tl 0.7500 0.2500 0.5000
Ru 0.5000 0.5000 0.0000
As 0.2088 0.6250 0.2500



Material: Ba3PrMg4
Method: DFT, PBE-GGA
State: optimized geometry

Calculated values
ΔH_f (0 K) = -0.057 eV/atom

Cell: 4.1834 4.1834 17.4230 Å, 90.00 90.00 90.00°
Atoms (fractional coordinates):
Mg 0.0000 0.0000 0.3674
Mg 0.0000 0.0000 0.9012
Mg 0.0000 0.0000 0.6326
Ba 0.5000 0.5000 0.2346
Ba 0.5000 0.5000 0.5000
Pr 0.5000 0.5000 0.0000
Ba 0.5000 0.5000 0.7654
Mg 0.0000 0.0000 0.0988



Material: Nd2MnAs3Pt4
Method: DFT, PBE-GGA
State: optimized geometry

Calculated values
ΔH_f (0 K) = -0.807 eV/atom

Cell: 4.2934 4.2934 10.5702 Å, 90.00 90.00 90.00°
Site moments in Bohr magnetons follow the coordinates.
Atoms (fractional coordinates):
As 0.0000 0.5000 0.1355  -0.01
Nd 0.0000 0.5000 0.7610  -0.03
As 0.0000 0.0000 0.5000  0.00
Mn 0.5000 0.5000 0.5000  3.69
Pt 0.0000 0.0000 0.0000  0.01
Nd 0.5000 0.0000 0.2390  -0.03
Pt 0.5000 0.0000 0.6331  0.08
Pt 0.0000 0.5000 0.3669  0.08
Pt 0.5000 0.5000 0.0000  -0.01
As 0.5000 0.0000 0.8645  -0.01



Material: Ba2Al12CuPt3
Method: DFT, PBE-GGA
State: optimized geometry

Calculated values
ΔH_f (0 K) = -0.219 eV/atom

Cell: 8.0924 8.0924 8.0924 Å, 71.94 71.94 71.94°
Atoms (fractional coordinates):
Al 0.7651 0.7651 0.0890
Al 0.8789 0.3301 0.8789
Al 0.9110 0.2349 0.2349
Al 0.2349 0.2349 0.9110
Cu 0.0000 0.0000 0.0000
Al 0.6699 0.1211 0.1211
Pt 0.0000 0.5000 0.0000
Al 0.2349 0.9110 0.2349
Al 0.7651 0.0890 0.7651
Al 0.3301 0.8789 0.8789
Al 0.1211 0.1211 0.6699
Al 0.1211 0.6699 0.1211
Ba 0.6202 0.6202 0.6202
Pt 0.0000 0.0000 0.5000
Pt 0.5000 0.0000 0.0000
Al 0.8789 0.8789 0.3301
Al 0.0890 0.7651 0.7651
Ba 0.3798 0.3798 0.3798



Material: BeCd2Ag
Method: DFT, PBE-GGA
State: optimized geometry

Calculated values
ΔH_f (0 K) = 0.183 eV/atom

Cell: 6.0857 6.0857 6.0857 Å, 152.33 136.49 52.35°
Atoms (fractional coordinates):
Ag 0.4400 0.4400 0.0000
Be 0.2576 0.7576 0.5000
Cd 0.7515 0.2515 0.5000
Cd 0.0508 0.0508 0.0000



Material: Mn2PtSe
Method: DFT, PBE-GGA
State: optimized geometry

Calculated values
formation energy without anion corrections = 0.59 eV/atom

Cell: 5.3599 5.3599 6.5229 Å, 65.74 65.74 90.00°
Atoms (fractional coordinates):
Se 0.5000 0.5000 0.0000
Pt 0.0000 0.0000 0.0000
Mn 0.6207 0.1250 0.2500
Mn 0.8750 0.8707 0.7500
Pt 0.7500 0.2500 0.5000
Se 0.2500 0.7500 0.5000
Mn 0.1293 0.6250 0.2500
Mn 0.3750 0.3793 0.7500



Material: TbTm4Sc4
Method: DFT, PBE-GGA
State: optimized geometry

Calculated values
ΔH_f (0 K) = 0.052 eV/atom

Cell: 4.7901 7.5954 7.5954 Å, 84.29 71.62 71.62°
Atoms (fractional coordinates):
Sc 0.6670 0.6658 0.0002
Tm 0.6701 0.3299 0.3298
Tm 0.3299 0.6701 0.6702
Tm 0.0000 0.3298 0.6701
Sc 0.3328 0.0002 0.3342
Tm 0.0000 0.6702 0.3299
Tb 0.0000 0.0000 0.0000
Sc 0.6672 0.9998 0.6658
Sc 0.3330 0.3342 0.9998



Asked for V across the records above, the calculation gives 25.5; 21.1; 27.4; 38.1; 19.5; 25.9; 17.9; 19.1; 27.7 Å³/atom in order.
Asked for total DFT energy (no corrections) across the records above, the calculation gives -4.327; -8.080; -5.099; -2.172; -6.489; -4.162; -1.919; -6.374; -5.264 eV/atom in order.